(1)
Ba2AgPb (GGA-PBE, relaxed); total moment = 0.000 μB/cell; ΔH_f (0 K) = -227 meV per atom; calculated total energy = -2.828 eV per atom
1.0
4.740 0.000 0.000
-2.370 4.105 0.000
0.000 0.000 27.130
Ba Ag Pb
6 3 3
direct
0.000 0.000 0.248
0.000 0.000 0.752
0.333 0.667 0.419
0.333 0.667 0.914
0.667 0.333 0.086
0.667 0.333 0.581
0.000 0.000 0.500
0.333 0.667 0.167
0.667 0.333 0.833
0.000 0.000 0.000
0.333 0.667 0.667
0.667 0.333 0.333


(2)
Ba2Ag3Pb5 (GGA-PBE, relaxed); total moment = 0.000 μB/cell; ΔH_f (0 K) = -274 meV per atom; calculated total energy = -3.368 eV per atom
1.0
-6.073 7.141 3.579
6.073 -7.141 3.579
6.073 7.141 -3.579
Ba Ag Pb
4 6 10
direct
0.128 0.248 0.377
0.372 0.748 0.120
0.628 0.252 0.880
0.872 0.752 0.623
0.127 0.873 0.000
0.250 0.750 0.500
0.373 0.373 0.746
0.627 0.627 0.254
0.750 0.250 0.500
0.873 0.127 0.000
0.002 0.750 0.252
0.110 0.642 0.751
0.250 0.250 0.000
0.390 0.142 0.532
0.498 0.750 0.748
0.502 0.250 0.252
0.610 0.858 0.468
0.750 0.750 0.000
0.890 0.358 0.249
0.998 0.250 0.748


(3)
Ba2AgPd4Pb3 (GGA-PBE, relaxed); total moment = 0.000 μB/cell; ΔH_f (0 K) = -455 meV per atom; calculated total energy = -4.315 eV per atom
1.0
4.865 0.000 0.000
0.000 4.865 0.000
0.000 0.000 11.026
Ba Ag Pd Pb
2 1 4 3
direct
0.000 0.500 0.248
0.500 0.000 0.752
0.500 0.500 0.000
0.000 0.000 0.500
0.000 0.500 0.871
0.500 0.000 0.129
0.500 0.500 0.500
0.000 0.000 0.000
0.000 0.500 0.619
0.500 0.000 0.381


(4)
Ba2AgPdPb6 (GGA-PBE, relaxed); total moment = 0.000 μB/cell; ΔH_f (0 K) = -240 meV per atom; calculated total energy = -3.654 eV per atom
1.0
3.741 2.160 13.486
-3.741 2.160 13.486
0.000 -4.320 13.486
Ba Ag Pd Pb
4 2 2 12
direct
0.113 0.113 0.113
0.289 0.289 0.289
0.711 0.711 0.711
0.887 0.887 0.887
0.428 0.428 0.428
0.572 0.572 0.572
0.000 0.000 0.000
0.500 0.500 0.500
0.085 0.656 0.656
0.223 0.223 0.668
0.223 0.668 0.223
0.332 0.777 0.777
0.344 0.344 0.915
0.344 0.915 0.344
0.656 0.085 0.656
0.656 0.656 0.085
0.668 0.223 0.223
0.777 0.332 0.777
0.777 0.777 0.332
0.915 0.344 0.344


> Number 1 is which compound?

Ba2AgPb